[1]
VASP calculation (PBE) on a geometry-optimized VW structure.

Cell: 2.8732 4.3730 5.0542 Å, 90.00 90.00 90.00°
Last column: nearest neighbours and their distance in Å.
Element x y z (fractional)
W 0.5000 0.0000 0.5000  6 V 2.53-2.62
W 0.0000 0.5000 0.0000  6 V 2.53-2.62
V 0.5000 0.0000 0.0000  6 W 2.53-2.62
V 0.0000 0.5000 0.5000  6 W 2.53-2.62

Calculated values
ΔH_f (0 K) in eV per atom: 0.76
V in Å³ per cell: 63.5

***

[2]
VASP calculation (PBE) on a geometry-optimized VW structure.

Cell: 6.8963 6.8963 6.8963 Å, 90.00 90.00 90.00°
Last column: nearest neighbours and their distance in Å.
Element x y z (fractional)
W 0.5000 0.0000 0.2500  4 V 2.44
W 0.7500 0.5000 0.0000  4 V 2.44
W 0.0000 0.7500 0.5000  4 V 2.44
W 0.2500 0.5000 0.0000  4 V 2.44
W 0.0000 0.2500 0.5000  4 V 2.44
W 0.5000 0.0000 0.7500  4 V 2.44
V 0.5000 0.2500 0.0000  4 W 2.44
V 0.7500 0.0000 0.5000  4 W 2.44
V 0.0000 0.5000 0.7500  4 W 2.44
V 0.5000 0.7500 0.0000  4 W 2.44
V 0.2500 0.0000 0.5000  4 W 2.44
V 0.0000 0.5000 0.2500  4 W 2.44

Calculated values
ΔH_f (0 K) in eV per atom: 2.77
V in Å³ per cell: 328.0

***

[3]
VASP calculation (PBE) on a geometry-optimized VW structure.

Cell: 5.0777 5.0777 5.0777 Å, 90.00 90.00 90.00°
Last column: nearest neighbours and their distance in Å.
Element x y z (fractional)
W 0.5000 0.0000 0.0000  6 V 2.54
W 0.5000 0.5000 0.5000  6 V 2.54
W 0.0000 0.0000 0.5000  6 V 2.54
W 0.0000 0.5000 0.0000  6 V 2.54
V 0.5000 0.0000 0.5000  6 W 2.54
V 0.5000 0.5000 0.0000  6 W 2.54
V 0.0000 0.0000 0.0000  6 W 2.54
V 0.0000 0.5000 0.5000  6 W 2.54

Calculated values
ΔH_f (0 K) in eV per atom: 1.04
V in Å³ per cell: 130.9

***

[4]
VASP calculation (PBE) on a geometry-optimized VW structure.

Cell: 2.7187 2.7187 4.2889 Å, 90.00 90.00 110.06°
Last column: nearest neighbours and their distance in Å.
Element x y z (fractional)
V 0.0000 0.0000 0.0000  4 W 2.65, 4 V 2.72
W 0.5000 0.5000 0.5000  4 V 2.65, 4 W 2.72

Calculated values
ΔH_f (0 K) in eV per atom: -0.06
V in Å³ per cell: 29.8

***

[5]
VASP calculation (PBE) on a geometry-optimized V4W structure.

Cell: 5.0576 4.6401 6.7202 Å, 90.00 90.00 66.41°
Last column: nearest neighbours and their distance in Å.
Element x y z (fractional)
V 0.8410 0.5670 0.3458  5 V 2.54-2.77, 2 W 2.59-2.68
V 0.2467 0.5385 0.0221  5 V 2.34-2.59
V 0.2467 0.0385 0.9779  5 V 2.34-2.59
V 0.7533 0.9615 0.0221  5 V 2.34-2.59
V 0.1590 0.4330 0.6542  5 V 2.54-2.77, 2 W 2.59-2.68
V 0.1590 0.9330 0.3458  5 V 2.54-2.77, 2 W 2.59-2.68
V 0.7533 0.4615 0.9779  5 V 2.34-2.59
V 0.8410 0.0670 0.6542  5 V 2.54-2.77, 2 W 2.59-2.68
W 0.5000 0.7500 0.6498  6 V 2.59-2.68
W 0.5000 0.2500 0.3502  6 V 2.59-2.68

Calculated values
ΔH_f (0 K) in eV per atom: 0.26
ΔE to the lowest computed polymorph in kJ per mole of atoms: 28.6
V in Å³ per cell: 144.5

***

[6]
VASP calculation (PBE) on a geometry-optimized VW structure.

Cell: 5.0516 5.0516 5.0805 Å, 90.00 90.00 90.00°
Last column: nearest neighbours and their distance in Å.
Element x y z (fractional)
W 0.7910 0.2090 0.5000  6 V 2.54-2.56
W 0.7090 0.7090 0.0000  6 V 2.54-2.56
W 0.2910 0.2910 0.0000  6 V 2.54-2.56
W 0.2090 0.7910 0.5000  6 V 2.54-2.56
V 0.7083 0.7083 0.5000  6 W 2.54-2.56
V 0.7917 0.2083 0.0000  6 W 2.54-2.56
V 0.2083 0.7917 0.0000  6 W 2.54-2.56
V 0.2917 0.2917 0.5000  6 W 2.54-2.56

Calculated values
ΔH_f (0 K) in eV per atom: 0.96
V in Å³ per cell: 129.6

***

> Number 1 is which compound?

VW

***

> Which of these has the highest V?

number 2

***

> Which of these has the lowest ΔH_f (0 K)?

number 4

***

> The highest ΔH_f (0 K) belongs to which entry?

number 2